First-principles (PBE) data for a geometry-optimized SbIN2Cl structure, as listed in Alexandria via LeMat-Bulk.

Cell: 4.3342 4.3342 5.0561 Å, 90.00 90.00 90.00°
Atoms (fractional coordinates):
Sb1 0.0000 0.0000 0.0000
I1 0.5000 0.5000 0.0000
N1 0.0000 0.5000 0.5000
N2 0.5000 0.0000 0.5000
Cl1 0.5000 0.5000 0.5000

Calculated values
ρ (Mg/m³): 5.46
Distance to the lowest polymorph of the same formula (eV/atom): 1.067
E_form (uncorrected) (eV per formula unit): 11.57
SG: P4/mmm (123)
Calculated total energy (eV/cell): -12.60


First-principles (PBE) data for a geometry-optimized ScIN2Cl structure, as listed in Alexandria via LeMat-Bulk.

Cell: 4.3435 4.3435 6.1250 Å, 90.00 90.00 90.00°
Atoms (fractional coordinates):
Sc1 0.0000 0.0000 0.0000
I1 0.0000 0.0000 0.5000
N1 0.0000 0.5000 0.0000
N2 0.5000 0.0000 0.0000
Cl1 0.5000 0.5000 0.5000

Calculated values
ρ (Mg/m³): 3.38
Distance to the lowest polymorph of the same formula (eV/atom): 0.000
E_form (uncorrected) (eV per formula unit): 3.52
SG: P4/mmm (123)
Calculated total energy (eV/cell): -22.86


First-principles (PBE) data for a geometry-optimized ScIN2Cl structure, as listed in Alexandria via LeMat-Bulk.

Cell: 4.1897 4.1897 4.9013 Å, 90.00 90.00 90.00°
Atoms (fractional coordinates):
Sc1 0.0000 0.0000 0.0000
I1 0.5000 0.5000 0.0000
N1 0.0000 0.5000 0.5000
N2 0.5000 0.0000 0.5000
Cl1 0.5000 0.5000 0.5000

Calculated values
ρ (Mg/m³): 4.54
Distance to the lowest polymorph of the same formula (eV/atom): 1.008
E_form (uncorrected) (eV per formula unit): 8.55
SG: P4/mmm (123)
Calculated total energy (eV/cell): -17.83


First-principles (PBE) data for a geometry-optimized ScI2NCl structure, as listed in Alexandria via LeMat-Bulk.

Cell: 6.2476 6.2476 3.5176 Å, 90.00 90.00 90.00°
Atoms (fractional coordinates):
Sc1 0.0000 0.0000 0.0000
I1 0.0000 0.5000 0.5000
I2 0.5000 0.0000 0.5000
N1 0.5000 0.5000 0.0000
Cl1 0.5000 0.5000 0.5000

Calculated values
ρ (Mg/m³): 4.21
Distance to the lowest polymorph of the same formula (eV/atom): 0.876
E_form (uncorrected) (eV per formula unit): 4.41
SG: P4/mmm (123)
Calculated total energy (eV/cell): -15.19


First-principles (PBE) data for a geometry-optimized ScI2NCl structure, as listed in Alexandria via LeMat-Bulk.

Cell: 5.8257 5.8257 4.2126 Å, 90.00 90.00 90.00°
Atoms (fractional coordinates):
Sc1 0.0000 0.0000 0.0000
I1 0.0000 0.5000 0.0000
I2 0.5000 0.0000 0.0000
N1 0.0000 0.0000 0.5000
Cl1 0.5000 0.5000 0.5000

Calculated values
ρ (Mg/m³): 4.04
Distance to the lowest polymorph of the same formula (eV/atom): 0.000
E_form (uncorrected) (eV per formula unit): 0.03
SG: P4/mmm (123)
Calculated total energy (eV/cell): -19.57


First-principles (PBE) data for a geometry-optimized Sm2INCl structure, as listed in Alexandria via LeMat-Bulk.

Cell: 8.1021 8.1021 11.5772 Å, 128.04 128.04 28.37°
Atoms (fractional coordinates):
Sm1 0.0879 0.0879 0.2892
Sm2 0.3728 0.3728 0.9516
Sm3 0.6272 0.6272 0.0484
Sm4 0.9121 0.9121 0.7108
I1 0.3402 0.3402 0.4286
I2 0.6598 0.6598 0.5714
N1 0.4482 0.4482 0.8371
N2 0.5518 0.5518 0.1629
Cl1 0.1383 0.1383 0.8529
Cl2 0.8617 0.8617 0.1471

Calculated values
ρ (Mg/m³): 5.68
E_form (uncorrected) (eV per formula unit): -8.03
SG: C2/m (12)
Calculated total energy (eV/cell): -58.39